[1]
This record from Alexandria describes a relaxed SrBeZn2Rh crystal. The functional is PBE.

a b c (Å): 4.8498 4.8498 4.3669
angles (deg): 90.00 90.00 90.00
With the nearest neighbours (Å) after each atom.
Fractional coordinates of all 5 atoms:
Sr 0.5000 0.5000 0.5000  8 Zn 3.26, 4 Be 3.43
Zn 0.0000 0.5000 0.0000  2 Rh 2.42
Zn 0.5000 0.0000 0.0000  2 Rh 2.42
Rh 0.0000 0.0000 0.0000  2 Be 2.18, 4 Zn 2.42
Be 0.0000 0.0000 0.5000  2 Rh 2.18

Summary:
ΔH_f (0 K) in eV/atom: -0.22
N(E_F) in states/eV/atom: 0.345
Raw total energy in eV for the cell shown: -16.43

=====

[2]
This record from Alexandria describes a relaxed Ta2BeRh crystal. The functional is PBE.

a b c (Å): 3.7524 3.0288 5.5141
angles (deg): 74.03 90.00 90.00
With the nearest neighbours (Å) after each atom.
Fractional coordinates of all 4 atoms:
Be 0.0000 0.6994 0.4746  2 Rh 2.37, 5 Ta 2.57-2.65
Rh 0.5000 0.5648 0.7469  2 Be 2.37
Ta 0.0000 0.9506 0.9747  1 Be 2.65, 4 Rh 2.70
Ta 0.5000 0.2852 0.3038  4 Be 2.57-2.58, 2 Rh 2.79-2.80

Summary:
ΔH_f (0 K) in eV/atom: -0.23
N(E_F) in states/eV/atom: 0.598
Raw total energy in eV for the cell shown: -35.72

=====

[3]
This record from Alexandria describes a relaxed TaBeRh2 crystal. The functional is PBE.

a b c (Å): 6.6640 2.8539 11.3938
angles (deg): 90.00 93.29 90.00
With the nearest neighbours (Å) after each atom.
Fractional coordinates of all 16 atoms:
Be 0.0493 0.0000 0.5998  7 Rh 2.33-2.45, 1 Be 2.33
Be 0.9507 0.0000 0.4002  7 Rh 2.33-2.45, 1 Be 2.33
Be 0.0493 0.5000 0.0998  7 Rh 2.33-2.45, 1 Be 2.33
Be 0.9507 0.5000 0.9002  7 Rh 2.33-2.45, 1 Be 2.33
Rh 0.2167 0.0000 0.9724  4 Be 2.36-2.38
Rh 0.7833 0.0000 0.0276  4 Be 2.36-2.38
Rh 0.2167 0.5000 0.4724  4 Be 2.36-2.38
Rh 0.7833 0.5000 0.5276  4 Be 2.36-2.38
Rh 0.1890 0.0000 0.2438  3 Be 2.33-2.45
Rh 0.8110 0.0000 0.7562  3 Be 2.33-2.45
Rh 0.1890 0.5000 0.7438  3 Be 2.33-2.45
Rh 0.8110 0.5000 0.2562  3 Be 2.33-2.45
Ta 0.5276 0.0000 0.3715  7 Rh 2.61-2.82, 1 Be 2.82, 2 Ta 2.85
Ta 0.4724 0.0000 0.6285  7 Rh 2.61-2.82, 1 Be 2.82, 2 Ta 2.85
Ta 0.5276 0.5000 0.8715  7 Rh 2.61-2.82, 1 Be 2.82, 2 Ta 2.85
Ta 0.4724 0.5000 0.1285  7 Rh 2.61-2.82, 1 Be 2.82, 2 Ta 2.85

Summary:
ΔH_f (0 K) in eV/atom: -0.51
N(E_F) in states/eV/atom: 0.620
Raw total energy in eV for the cell shown: -129.33

=====

[4]
This record from Alexandria describes a relaxed TaBe2Rh crystal. The functional is PBE.

a b c (Å): 4.8335 4.8335 4.0965
angles (deg): 64.93 64.93 34.79
With the nearest neighbours (Å) after each atom.
Fractional coordinates of all 4 atoms:
Be 0.0308 0.0308 0.9690  2 Be 2.18
Be 0.7277 0.7277 0.7725  2 Be 2.18
Rh 0.4797 0.4797 0.5200  6 Be 2.54, 4 Ta 2.73-2.74
Ta 0.2618 0.2618 0.2385  8 Be 2.52-2.80, 4 Rh 2.73-2.74

Summary:
ΔH_f (0 K) in eV/atom: -0.22
N(E_F) in states/eV/atom: 0.519
Raw total energy in eV for the cell shown: -27.55

=====

[5]
This record from Alexandria describes a relaxed TaBeRh2 crystal. The functional is PBE.

a b c (Å): 3.4301 4.0360 4.0360
angles (deg): 90.00 90.00 90.00
With the nearest neighbours (Å) after each atom.
Fractional coordinates of all 4 atoms:
Be 0.5000 0.0000 0.5000  8 Rh 2.65, 4 Ta 2.85
Rh 0.0000 0.0000 0.0000  4 Ta 2.65, 4 Be 2.65, 4 Rh 2.85
Rh 0.0000 0.5000 0.5000  4 Ta 2.65, 4 Be 2.65, 4 Rh 2.85
Ta 0.5000 0.5000 0.0000  8 Rh 2.65, 4 Be 2.85

Summary:
ΔH_f (0 K) in eV/atom: -0.43
N(E_F) in states/eV/atom: 0.566
Raw total energy in eV for the cell shown: -32.01

=====

[6]
This record from Alexandria describes a relaxed TaBe2Rh crystal. The functional is PBE.

a b c (Å): 7.8998 7.8998 7.8998
angles (deg): 20.46 20.46 20.46
With the nearest neighbours (Å) after each atom.
Fractional coordinates of all 4 atoms:
Be 0.9898 0.9898 0.9898  3 Be 2.33
Be 0.2512 0.2512 0.2512  3 Be 2.33, 3 Rh 2.35
Rh 0.5112 0.5112 0.5112  3 Be 2.35
Ta 0.7479 0.7479 0.7479  3 Be 2.67, 3 Rh 2.77, 6 Ta 2.81

Summary:
ΔH_f (0 K) in eV/atom: 0.12
N(E_F) in states/eV/atom: 0.952
Raw total energy in eV for the cell shown: -26.18

=====

[7]
This record from Alexandria describes a relaxed TaBeRh2 crystal. The functional is PBE.

a b c (Å): 8.0023 8.0023 8.0023
angles (deg): 20.51 20.51 20.51
With the nearest neighbours (Å) after each atom.
Fractional coordinates of all 4 atoms:
Be 0.7500 0.7500 0.7500  6 Rh 2.34
Rh 0.0125 0.0125 0.0125  3 Be 2.34
Rh 0.4875 0.4875 0.4875  3 Be 2.34
Ta 0.2500 0.2500 0.2500  6 Rh 2.79, 6 Ta 2.85

Summary:
ΔH_f (0 K) in eV/atom: -0.31
N(E_F) in states/eV/atom: 0.546
Raw total energy in eV for the cell shown: -31.51

=====

[8]
This record from Alexandria describes a relaxed TaBe2Rh crystal. The functional is PBE.

a b c (Å): 3.6475 3.6475 8.8928
angles (deg): 78.17 78.17 90.00
With the nearest neighbours (Å) after each atom.
Fractional coordinates of all 8 atoms:
Be 0.5753 0.1250 0.2500  2 Be 2.34, 2 Rh 2.43, 2 Ta 2.56
Be 0.1747 0.6250 0.2500  2 Be 2.34, 2 Rh 2.43, 2 Ta 2.56
Be 0.3750 0.4247 0.7500  2 Be 2.34, 2 Rh 2.43, 2 Ta 2.56
Be 0.8750 0.8253 0.7500  2 Be 2.34, 2 Rh 2.43, 2 Ta 2.56
Rh 0.5000 0.5000 0.0000  4 Be 2.43, 4 Ta 2.58
Rh 0.2500 0.7500 0.5000  4 Be 2.43, 4 Ta 2.58
Ta 0.0000 0.0000 0.0000  4 Be 2.56, 4 Rh 2.58
Ta 0.7500 0.2500 0.5000  4 Be 2.56, 4 Rh 2.58

Summary:
ΔH_f (0 K) in eV/atom: 0.32
N(E_F) in states/eV/atom: 0.733
Raw total energy in eV for the cell shown: -50.78

=====

> The lowest N(E_F) belongs to which entry?

SrBeZn2Rh

=====

Repeat the eighth record exactly.
This record from Alexandria describes a relaxed TaBe2Rh crystal. The functional is PBE.

a b c (Å): 3.6475 3.6475 8.8928
angles (deg): 78.17 78.17 90.00
With the nearest neighbours (Å) after each atom.
Fractional coordinates of all 8 atoms:
Be 0.5753 0.1250 0.2500  2 Be 2.34, 2 Rh 2.43, 2 Ta 2.56
Be 0.1747 0.6250 0.2500  2 Be 2.34, 2 Rh 2.43, 2 Ta 2.56
Be 0.3750 0.4247 0.7500  2 Be 2.34, 2 Rh 2.43, 2 Ta 2.56
Be 0.8750 0.8253 0.7500  2 Be 2.34, 2 Rh 2.43, 2 Ta 2.56
Rh 0.5000 0.5000 0.0000  4 Be 2.43, 4 Ta 2.58
Rh 0.2500 0.7500 0.5000  4 Be 2.43, 4 Ta 2.58
Ta 0.0000 0.0000 0.0000  4 Be 2.56, 4 Rh 2.58
Ta 0.7500 0.2500 0.5000  4 Be 2.56, 4 Rh 2.58

Summary:
ΔH_f (0 K) in eV/atom: 0.32
N(E_F) in states/eV/atom: 0.733
Raw total energy in eV for the cell shown: -50.78

=====

> Which of these has the lowest ΔH_f (0 K)?

number 3

=====

What did the fifth record say?
This record from Alexandria describes a relaxed TaBeRh2 crystal. The functional is PBE.

a b c (Å): 3.4301 4.0360 4.0360
angles (deg): 90.00 90.00 90.00
With the nearest neighbours (Å) after each atom.
Fractional coordinates of all 4 atoms:
Be 0.5000 0.0000 0.5000  8 Rh 2.65, 4 Ta 2.85
Rh 0.0000 0.0000 0.0000  4 Ta 2.65, 4 Be 2.65, 4 Rh 2.85
Rh 0.0000 0.5000 0.5000  4 Ta 2.65, 4 Be 2.65, 4 Rh 2.85
Ta 0.5000 0.5000 0.0000  8 Rh 2.65, 4 Be 2.85

Summary:
ΔH_f (0 K) in eV/atom: -0.43
N(E_F) in states/eV/atom: 0.566
Raw total energy in eV for the cell shown: -32.01